Record 1
# Ba2AgSb | the Alexandria database | PBE | relaxed
# Volume: 34.36 A^3/atom
# E_form (uncorrected): -0.2475 eV per atom
# Calculated density: 6.09 g/cm³
data_Ba2AgSb
_symmetry_space_group_name_H-M 'F -4 3 m'
_symmetry_Int_Tables_number 216
_symmetry_space_group_name_Hall 'F -4 2 3'
_cell_length_a 8.192
_cell_length_b 8.192
_cell_length_c 8.192
_cell_angle_alpha 90.00
_cell_angle_beta 90.00
_cell_angle_gamma 90.00
loop_
_atom_site_label
_atom_site_fract_x
_atom_site_fract_y
_atom_site_fract_z
_atom_site_occupancy
Ba1 0.000 0.000 0.000 1
Ba2 0.250 0.250 0.250 1
Ag1 0.000 0.000 0.500 1
Sb1 0.250 0.250 0.750 1

=====

Record 2
# MgNi2As | the Alexandria database | PBE | relaxed
# Volume: 13.85 A^3/atom
# Calculated density: 6.49 g/cm³
data_MgNi2As
_symmetry_space_group_name_H-M 'C 1 2/m 1'
_symmetry_Int_Tables_number 12
_cell_length_a 8.043
_cell_length_b 2.964
_cell_length_c 4.735
_cell_angle_alpha 90.00
_cell_angle_beta 101.05
_cell_angle_gamma 90.00
loop_
_symmetry_equiv_pos_as_xyz
'x,y,z'
'-x,-y,-z'
'-x,y,-z'
'x,-y,z'
'x+1/2,y+1/2,z'
'-x+1/2,-y+1/2,-z'
'-x+1/2,y+1/2,-z'
'x+1/2,-y+1/2,z'
loop_
_atom_site_label
_atom_site_fract_x
_atom_site_fract_y
_atom_site_fract_z
_atom_site_occupancy
Mg1 0.000 0.000 0.000 1
Ni1 0.243 0.000 0.725 1
As1 0.000 0.500 0.500 1

=====

Record 3
# K2SrLa | the Alexandria database | PBE | relaxed
# Volume: 53.72 A^3/atom
# Energy above the lowest structure with this stoichiometry: 164 meV per atom
# Calculated density: 2.35 g/cm³
data_K2SrLa
_symmetry_space_group_name_H-M 'P m m m'
_symmetry_Int_Tables_number 47
_cell_length_a 3.806
_cell_length_b 7.137
_cell_length_c 7.910
_cell_angle_alpha 90.00
_cell_angle_beta 90.00
_cell_angle_gamma 90.00
loop_
_symmetry_equiv_pos_as_xyz
'x,y,z'
'-x,-y,-z'
'-x,-y,z'
'x,y,-z'
'x,-y,-z'
'-x,y,z'
'-x,y,-z'
'x,-y,z'
loop_
_atom_site_label
_atom_site_fract_x
_atom_site_fract_y
_atom_site_fract_z
_atom_site_occupancy
K1 0.000 0.000 0.243 1
Sr1 0.500 0.500 0.500 1
La1 0.500 0.500 0.000 1

=====

Record 4
# Ta2CrIn | the Alexandria database | PBE | relaxed
# Volume: 17.46 A^3/atom
# Calculated density: 12.57 g/cm³
data_Ta2CrIn
_symmetry_space_group_name_H-M 'P 1 2/m 1'
_symmetry_Int_Tables_number 10
_cell_length_a 2.946
_cell_length_b 4.158
_cell_length_c 5.793
_cell_angle_alpha 90.00
_cell_angle_beta 100.12
_cell_angle_gamma 90.00
loop_
_symmetry_equiv_pos_as_xyz
'x,y,z'
'-x,-y,-z'
'-x,y,-z'
'x,-y,z'
loop_
_atom_site_label
_atom_site_fract_x
_atom_site_fract_y
_atom_site_fract_z
_atom_site_occupancy
Ta1 0.073 0.000 0.278 1
Cr1 0.500 0.500 0.500 1
In1 0.500 0.500 0.000 1

=====

Record 5
# Al3SI | the Alexandria database | PBE | relaxed
# Volume: 40.96 A^3/atom
# Energy above the lowest structure with this stoichiometry: 769 meV per atom
# E_form (uncorrected): 1.1556 eV per atom
# Calculated density: 1.95 g/cm³
data_Al3SI
_symmetry_space_group_name_H-M 'P m -3 m'
_symmetry_Int_Tables_number 221
_symmetry_space_group_name_Hall '-P 4 2 3'
_cell_length_a 5.895
_cell_length_b 5.895
_cell_length_c 5.895
_cell_angle_alpha 90.00
_cell_angle_beta 90.00
_cell_angle_gamma 90.00
loop_
_atom_site_label
_atom_site_fract_x
_atom_site_fract_y
_atom_site_fract_z
_atom_site_occupancy
Al1 0.000 0.000 0.500 1
S1 0.500 0.500 0.500 1
I1 0.000 0.000 0.000 1

=====

Record 6
# SrNd3Th2N6 | the Alexandria database | PBE | relaxed
# Volume: 17.58 A^3/atom
# E_form (uncorrected): -1.3790 eV per atom
# Calculated density: 8.41 g/cm³
data_SrNd3Th2N6
_symmetry_space_group_name_H-M 'C 1 2/m 1'
_symmetry_Int_Tables_number 12
_cell_length_a 15.949
_cell_length_b 3.686
_cell_length_c 7.376
_cell_angle_alpha 90.00
_cell_angle_beta 103.37
_cell_angle_gamma 90.00
loop_
_symmetry_equiv_pos_as_xyz
'x,y,z'
'-x,-y,-z'
'-x,y,-z'
'x,-y,z'
'x+1/2,y+1/2,z'
'-x+1/2,-y+1/2,-z'
'-x+1/2,y+1/2,-z'
'x+1/2,-y+1/2,z'
loop_
_atom_site_label
_atom_site_fract_x
_atom_site_fract_y
_atom_site_fract_z
_atom_site_occupancy
Sr1 0.000 0.000 0.000 1
Nd1 0.000 0.000 0.500 1
Nd2 0.166 0.500 0.836 1
Th1 0.165 0.500 0.330 1
N1 0.009 0.500 0.270 1
N2 0.171 0.000 0.576 1
N3 0.173 0.000 0.098 1

=====

Record 7
# TlCd2PbCl8 | the Alexandria database | PBE | relaxed
# Volume: 36.80 A^3/atom
# E_form (uncorrected): -0.8819 eV per atom
# Calculated density: 3.46 g/cm³
data_TlCd2PbCl8
_symmetry_space_group_name_H-M 'P -3 m 1'
_symmetry_Int_Tables_number 164
_symmetry_space_group_name_Hall '-P 3 2"'
_cell_length_a 7.8233
_cell_length_b 7.8233
_cell_length_c 8.3305
_cell_angle_alpha 90.00
_cell_angle_beta 90.00
_cell_angle_gamma 120.00
loop_
_atom_site_label
_atom_site_fract_x
_atom_site_fract_y
_atom_site_fract_z
_atom_site_occupancy
Tl1 0.0000 0.0000 0.0000 1
Cd1 0.3333 0.6667 0.5764 1
Pb1 0.0000 0.0000 0.5000 1
Cl1 0.1634 0.3267 0.7084 1
Cl2 0.3333 0.6667 0.2885 1

=====

Record 8
# Ca2Zn2Au | the Alexandria database | PBE | relaxed
# Volume: 23.21 A^3/atom
# Energy above the lowest structure with this stoichiometry: 88 meV per atom
# Calculated density: 5.84 g/cm³
data_Ca2Zn2Au
_symmetry_space_group_name_H-M 'P 4/m b m'
_symmetry_Int_Tables_number 127
_symmetry_space_group_name_Hall '-P 4 2ab'
_cell_length_a 7.100
_cell_length_b 7.100
_cell_length_c 4.604
_cell_angle_alpha 90.00
_cell_angle_beta 90.00
_cell_angle_gamma 90.00
loop_
_atom_site_label
_atom_site_fract_x
_atom_site_fract_y
_atom_site_fract_z
_atom_site_occupancy
Ca1 0.181 0.319 0.000 1
Zn1 0.125 0.625 0.500 1
Au1 0.000 0.000 0.500 1

=====

Record 9
# InCu2Pt | the Alexandria database | PBE | relaxed
# Volume: 15.15 A^3/atom
# Calculated density: 11.97 g/cm³
data_InCu2Pt
_symmetry_space_group_name_H-M 'P 4/m m m'
_symmetry_Int_Tables_number 123
_symmetry_space_group_name_Hall '-P 4 2'
_cell_length_a 3.947
_cell_length_b 3.947
_cell_length_c 3.891
_cell_angle_alpha 90.00
_cell_angle_beta 90.00
_cell_angle_gamma 90.00
loop_
_atom_site_label
_atom_site_fract_x
_atom_site_fract_y
_atom_site_fract_z
_atom_site_occupancy
In1 0.000 0.000 0.000 1
Cu1 0.000 0.500 0.500 1
Pt1 0.500 0.500 0.000 1

=====

Record 10
# SmY3Er12 | the Alexandria database | PBE | relaxed
# Volume: 31.02 A^3/atom
# Calculated density: 8.11 g/cm³
data_SmY3Er12
_symmetry_space_group_name_H-M 'P 4/m m m'
_symmetry_Int_Tables_number 123
_symmetry_space_group_name_Hall '-P 4 2'
_cell_length_a 4.988
_cell_length_b 4.988
_cell_length_c 19.949
_cell_angle_alpha 90.00
_cell_angle_beta 90.00
_cell_angle_gamma 90.00
loop_
_atom_site_label
_atom_site_fract_x
_atom_site_fract_y
_atom_site_fract_z
_atom_site_occupancy
Sm1 0.000 0.000 0.000 1
Y1 0.000 0.000 0.250 1
Y2 0.000 0.000 0.500 1
Er1 0.000 0.500 0.125 1
Er2 0.000 0.500 0.375 1
Er3 0.500 0.500 0.000 1
Er4 0.500 0.500 0.251 1
Er5 0.500 0.500 0.500 1

=====

Record 11
# Li3MgBi3 | the Alexandria database | PBE | relaxed
# Volume: 26.33 A^3/atom
# Energy above the lowest structure with this stoichiometry: 0 meV per atom
# Calculated density: 6.05 g/cm³
data_Li3MgBi3
_symmetry_space_group_name_H-M 'C m m m'
_symmetry_Int_Tables_number 65
_symmetry_space_group_name_Hall '-C 2 2'
_cell_length_a 9.417
_cell_length_b 9.734
_cell_length_c 8.043
_cell_angle_alpha 90.00
_cell_angle_beta 90.00
_cell_angle_gamma 90.00
loop_
_atom_site_label
_atom_site_fract_x
_atom_site_fract_y
_atom_site_fract_z
_atom_site_occupancy
Li1 0.000 0.243 0.000 1
Li2 0.249 0.000 0.500 1
Li3 0.250 0.000 0.000 1
Mg1 0.000 0.256 0.500 1
Bi1 0.000 0.000 0.249 1
Bi2 0.250 0.250 0.247 1

=====

Record 12
# TmThPa | the Alexandria database | PBE | relaxed
# Volume: 28.98 A^3/atom
# Energy above the lowest structure with this stoichiometry: 0 meV per atom
# Calculated density: 12.07 g/cm³
data_TmThPa
_symmetry_space_group_name_H-M 'I 4 m m'
_symmetry_Int_Tables_number 107
_symmetry_space_group_name_Hall 'I 4 -2'
_cell_length_a 3.379
_cell_length_b 3.379
_cell_length_c 15.235
_cell_angle_alpha 90.00
_cell_angle_beta 90.00
_cell_angle_gamma 90.00
loop_
_atom_site_label
_atom_site_fract_x
_atom_site_fract_y
_atom_site_fract_z
_atom_site_occupancy
Tm1 0.000 0.000 0.000 1
Th1 0.000 0.000 0.679 1
Pa1 0.000 0.000 0.339 1

=====

no.,DOS at the Fermi energy (states/eV/f.u.),E_tot (eV/atom)
1,2.30,-2.95
2,2.89,-4.59
3,4.86,-1.84
4,3.99,-8.77
5,0.04,-2.23
6,2.37,-8.11
7,17.53,-2.77
8,3.41,-2.34
9,1.99,-4.44
10,21.39,-4.90
11,1.23,-3.00
12,5.32,-6.99